# 1
Tb4Tm2Sc5: relaxed, PBE.

```
11
Lattice="11.424 -1.677 0.000 11.424 1.677 0.000 -0.571 0.000 8.257" Properties=species:S:1:pos:R:3 pbc="T T T"
Tb 0.764 0.000 2.807
Tb 9.163 0.000 2.490
Tb 13.113 0.000 5.767
Tb 21.512 0.000 5.450
Tm 3.049 0.000 0.425
Tm 19.227 0.000 7.832
Sc 4.064 0.000 3.949
Sc 6.149 0.000 1.457
Sc 11.424 0.000 0.000
Sc 16.127 0.000 6.800
Sc 18.212 0.000 4.309
```

Relative energy among the computed polymorphs, meV per atom: 83
DOS(E_F), states/eV/f.u.: 18.8
Energy, eV per atom: -5.24

---

# 2
Tb3Tm2Sc6: relaxed, PBE.

```
11
Lattice="2.519 1.455 12.553 -2.519 1.455 12.553 0.000 -2.909 12.553" Properties=species:S:1:pos:R:3 pbc="T T T"
Tb 0.000 0.000 0.000
Tb 0.000 0.000 10.097
Tb 0.000 0.000 27.561
Tm 0.000 0.000 17.116
Tm 0.000 0.000 20.542
Sc 0.000 0.000 3.312
Sc 0.000 0.000 6.539
Sc 0.000 0.000 13.681
Sc 0.000 0.000 23.978
Sc 0.000 0.000 31.119
Sc 0.000 0.000 34.346
```

DOS(E_F), states/eV/f.u.: 20.1
Energy, eV per atom: -5.35

---

# 3
Tb2Tm15Sc2: relaxed, PBE.

```
19
Lattice="5.480 3.164 5.744 -5.480 3.164 5.744 0.000 -6.328 5.744" Properties=species:S:1:pos:R:3 pbc="T T T"
Tb 0.000 0.000 3.058
Tb 0.000 0.000 14.173
Tm -2.740 -1.582 5.744
Tm 0.000 -3.216 5.256
Tm -2.785 1.608 5.256
Tm -1.623 -2.810 8.616
Tm -3.245 0.000 8.616
Tm -2.785 -1.608 11.975
Tm -2.740 1.582 11.488
Tm 1.623 -2.810 8.616
Tm 0.000 3.164 5.744
Tm -1.623 2.810 8.616
Tm 2.785 1.608 5.256
Tm 3.245 0.000 8.616
Tm 1.623 2.810 8.616
Tm 2.785 -1.608 11.975
Tm 0.000 3.216 11.975
Sc 0.000 0.000 7.033
Sc 0.000 0.000 10.198
```

DOS(E_F), states/eV/f.u.: 35.9
Energy, eV per atom: -4.39

---

# 4
Tb2Tm2Sc5: relaxed, PBE.

```
9
Lattice="3.366 0.000 0.000 0.070 8.228 0.000 0.036 2.025 8.900" Properties=species:S:1:pos:R:3 pbc="T T T"
Tb 0.864 3.254 2.581
Tb 2.607 7.000 6.319
Tm 0.875 9.789 7.489
Tm 2.597 0.465 1.411
Sc 0.807 6.353 3.413
Sc 0.932 4.824 8.253
Sc 1.701 1.013 4.450
Sc 2.540 5.429 0.647
Sc 2.665 3.900 5.487
```

Relative energy among the computed polymorphs, meV per atom: 0
DOS(E_F), states/eV/f.u.: 16.8
Energy, eV per atom: -5.46

---

# 5
Tb9Tm2Sc: relaxed, PBE.

```
12
Lattice="4.987 0.000 0.000 0.000 4.987 0.000 0.000 0.000 14.935" Properties=species:S:1:pos:R:3 pbc="T T T"
Tb 0.000 0.000 0.000
Tb 0.000 0.000 4.949
Tb 0.000 0.000 9.986
Tb 0.000 2.493 2.434
Tb 0.000 2.493 7.467
Tb 0.000 2.493 12.501
Tb 2.493 0.000 2.434
Tb 2.493 0.000 7.467
Tb 2.493 0.000 12.501
Tm 2.493 2.493 4.953
Tm 2.493 2.493 9.982
Sc 2.493 2.493 0.000
```

DOS(E_F), states/eV/f.u.: 17.8
Energy, eV per atom: -4.72

---

# 6
Tb6Tm3Sc2: relaxed, PBE.

```
11
Lattice="3.030 -5.250 0.000 3.030 5.250 0.000 -2.039 0.000 10.965" Properties=species:S:1:pos:R:3 pbc="T T T"
Tb -0.015 1.752 8.336
Tb 1.000 0.000 2.631
Tb -0.015 -1.752 8.336
Tb 4.036 1.752 2.629
Tb 3.021 0.000 8.334
Tb 4.036 -1.752 2.629
Tm -1.019 0.000 5.482
Tm 2.011 1.745 5.482
Tm 2.011 -1.745 5.482
Sc 3.030 3.502 0.000
Sc 3.030 -3.502 0.000
```

Relative energy among the computed polymorphs, meV per atom: 0
DOS(E_F), states/eV/f.u.: 16.1
Energy, eV per atom: -4.69

---

# 7
TbTm2Sc: relaxed, PBE.

```
4
Lattice="1.744 1.007 11.060 -1.744 1.007 11.060 0.000 -2.014 11.060" Properties=species:S:1:pos:R:3 pbc="T T T"
Tb 0.000 0.000 0.000
Tm 0.000 0.000 8.219
Tm 0.000 0.000 13.939
Sc 0.000 0.000 27.684
```

Relative energy among the computed polymorphs, meV per atom: 19
DOS(E_F), states/eV/f.u.: 6.1
Energy, eV per atom: -4.94

---

# 8
Tb4Tm11Sc9: relaxed, PBE.

```
24
Lattice="9.834 -10.157 0.000 9.834 10.157 0.000 0.000 0.000 3.395" Properties=species:S:1:pos:R:3 pbc="T T T"
Tb 2.683 1.711 0.000
Tb 2.683 -1.711 0.000
Tb 16.985 1.711 0.000
Tb 16.985 -1.711 0.000
Tm 5.047 3.424 1.697
Tm 9.834 6.952 1.697
Tm 5.231 0.000 1.697
Tm 9.834 3.471 1.697
Tm 5.047 -3.424 1.697
Tm 9.834 0.000 1.697
Tm 14.620 3.424 1.697
Tm 9.834 -3.471 1.697
Tm 14.436 0.000 1.697
Tm 9.834 -6.952 1.697
Tm 14.620 -3.424 1.697
Sc 0.000 0.000 0.000
Sc 7.401 5.155 0.000
Sc 7.503 1.767 0.000
Sc 12.267 5.155 0.000
Sc 7.503 -1.767 0.000
Sc 12.165 1.767 0.000
Sc 7.401 -5.155 0.000
Sc 12.165 -1.767 0.000
Sc 12.267 -5.155 0.000
```

DOS(E_F), states/eV/f.u.: 37.5
Energy, eV per atom: -5.11

---

- energy of number 8 (Tb4Tm11Sc9)?
  -5.11 eV per atom

---

- Which formula does entry 8 have?
  Tb4Tm11Sc9